{
  "formula": "KCoRhF6",
  "functional": "GGA+U",
  "state": "optimized geometry",
  "vol_a3_per_atom": 16.3,
  "magnetic_moment_mub_per_cell": 3.16,
  "energy_ev_per_atom": -4.820,
  "spacegroup": "P312",
  "mass_density_g_cm3": 3.56,
  "n_ef_per_ev_fu": 0.0,
  "cell": [[-1.954, 0.215, -5.067], [1.912, -3.385, -3.800], [-4.041, -3.841, 1.395]],
  "species": ["F", "F", "F", "F", "F", "F", "Rh", "Co", "K"],
  "frac_coords": [[0.358, 0.634, 0.312], [0.008, 0.635, 0.688], [0.008, 0.357, 0.312], [0.357, 0.008, 0.688], [0.634, 0.358, 0.688], [0.635, 0.007, 0.312], [0.333, 0.333, 0.500], [0.667, 0.667, 0.500], [0.000, 0.000, 0.000]]
}